The following is a PBE-GGA calculation of an optimized crystal structure of PrGe2PdRh2, from Alexandria.

SG	No. 123
E_form	-0.203	eV/atom

Cell lengths 4.6367, 4.6367, 5.6204 Å; angles 90.00, 90.00, 90.00 degrees
With the nearest neighbours (Å) after each atom.
Fractional positions:
Pr 0.0000 0.0000 0.0000  2 Pd 2.81
Ge 0.0000 0.5000 0.5000  2 Pd 2.32
Ge 0.5000 0.0000 0.5000  2 Pd 2.32
Pd 0.0000 0.0000 0.5000  4 Ge 2.32
Rh 0.5000 0.5000 0.2469  4 Ge 2.72, 2 Rh 2.78-2.84
Rh 0.5000 0.5000 0.7531  4 Ge 2.72, 2 Rh 2.78-2.84